# CaGeBr2

A relaxed CaGeBr2 crystal (GGA-PBE, the Alexandria database).

Cell lengths 4.106, 7.653, 8.859 Å; angles 99.26, 102.54, 103.81 degrees
Space group P1 (No. 1)
Inequivalent atoms, fractional coordinates:
1 Ca 0.000 0.000 0.000
2 Ca 0.381 0.524 0.275
3 Ge 0.083 0.816 0.445
4 Ge 0.712 0.898 0.628
5 Br 0.238 0.129 0.337
6 Br 0.391 0.739 0.021
7 Br 0.658 0.302 0.029
8 Br 0.706 0.558 0.612

Summary:
Distance to the lowest polymorph of the same formula: 0.069 eV per atom
Magnetization: 0.00 μB/atom

# ZrTiSnN2

A relaxed ZrTiSnN2 crystal (GGA-PBE, the Alexandria database).

Cell lengths 4.127, 4.127, 5.922 Å; angles 90.00, 90.00, 90.00 degrees
Space group P4/mmm (No. 123)
Inequivalent atoms, fractional coordinates:
1 Zr 0.000 0.000 0.000
2 Ti 0.500 0.500 0.500
3 Sn 0.000 0.000 0.500
4 N 0.000 0.500 0.000

Summary:
Magnetization: 0.00 μB/atom

# PmSmGeSe

A relaxed PmSmGeSe crystal (GGA-PBE, the Alexandria database).

Cell lengths 4.2283, 4.2283, 20.8870 Å; angles 90.00, 90.00, 120.00 degrees
Space group R3m (No. 160, hexagonal axes)
Inequivalent atoms, fractional coordinates:
1 Pm 0.0000 0.0000 0.0000
2 Sm 0.0000 0.0000 0.5065
3 Ge 0.0000 0.0000 0.2528
4 Se 0.0000 0.0000 0.7538

Summary:
Magnetization: 0.00 μB/atom

| no. | V (Å³/atom) | raw total energy (eV per atom) | uncorrected formation energy (eV per atom) |
| --- | --- | --- | --- |
| 1 | 32.1 | -3.666 | -1.175 |
| 2 | 20.2 | -6.780 | 0.639 |
| 3 | 27.0 | -5.795 | -1.403 |